Entry 1:
Entry from Alexandria: a geometry-optimized MnCuPdF6 structure (GGA+U).

## Properties
Its density of states at the Fermi level is 5.0 states/eV/f.u. As for the final energy: -87.6 eV/cell. The space group is No. 102.

a = 4.8954 Å, b = 4.8954 Å, c = 9.9522 Å
α = 90.00°, β = 90.00°, γ = 90.00°
With the nearest neighbours (Å) after each atom.
Fractional positions:
Mn1 0.5000 0.5000 0.8342  6 F 2.10-2.16
Mn2 0.0000 0.0000 0.3342  6 F 2.10-2.16
Cu1 0.5000 0.5000 0.5005  6 F 2.03-2.10
Cu2 0.0000 0.0000 0.0005  6 F 2.03-2.10
Pd1 0.5000 0.5000 0.1659  6 F 2.14-2.20
Pd2 0.0000 0.0000 0.6659  6 F 2.14-2.20
F1 0.2066 0.7934 0.4974  1 Cu 2.03, 1 Mn 2.16, 1 Pd 2.20
F2 0.7934 0.2066 0.4974  1 Cu 2.03, 1 Mn 2.16, 1 Pd 2.20
F3 0.2934 0.2934 0.9974  1 Cu 2.03, 1 Mn 2.16, 1 Pd 2.20
F4 0.7066 0.7066 0.9974  1 Cu 2.03, 1 Mn 2.16, 1 Pd 2.20
F5 0.1906 0.8094 0.1626  1 Cu 2.08, 1 Pd 2.14, 1 Mn 2.16
F6 0.8094 0.1906 0.1626  1 Cu 2.08, 1 Pd 2.14, 1 Mn 2.16
F7 0.3094 0.3094 0.6626  1 Cu 2.08, 1 Pd 2.14, 1 Mn 2.16
F8 0.6906 0.6906 0.6626  1 Cu 2.08, 1 Pd 2.14, 1 Mn 2.16
F9 0.8039 0.1961 0.8396  1 Cu 2.10, 1 Mn 2.10, 1 Pd 2.20
F10 0.1961 0.8039 0.8396  1 Cu 2.10, 1 Mn 2.10, 1 Pd 2.20
F11 0.6961 0.6961 0.3396  1 Cu 2.10, 1 Mn 2.10, 1 Pd 2.20
F12 0.3039 0.3039 0.3396  1 Cu 2.10, 1 Mn 2.10, 1 Pd 2.20



Entry 2:
Entry from Alexandria: a geometry-optimized RbMnCu2F8 structure (GGA+U).

## Properties
Its density of states at the Fermi level is 6.0 states/eV/f.u. As for the final energy: -54.7 eV/cell. The space group is No. 148.

a = 5.3470 Å, b = 5.3470 Å, c = 8.3229 Å
α = 71.26°, β = 71.26°, γ = 60.00°
With the nearest neighbours (Å) after each atom.
Fractional positions:
Rb1 0.5000 0.5000 0.5000  12 F 3.10-3.36
Mn1 0.0000 0.0000 0.0000  6 F 1.92
Cu1 0.2594 0.2594 0.2217  4 F 1.84-1.98
Cu2 0.7406 0.7406 0.7783  4 F 1.84-1.98
F1 0.1802 0.1802 0.4593  1 Cu 1.84
F2 0.6572 0.2437 0.1426  1 Mn 1.92, 1 Cu 1.98
F3 0.8198 0.8198 0.5407  1 Cu 1.84
F4 0.9565 0.6572 0.1426  1 Mn 1.92, 1 Cu 1.98
F5 0.0435 0.3428 0.8574  1 Mn 1.92, 1 Cu 1.98
F6 0.2437 0.9565 0.1426  1 Mn 1.92, 1 Cu 1.98
F7 0.7563 0.0435 0.8574  1 Mn 1.92, 1 Cu 1.98
F8 0.3428 0.7563 0.8574  1 Mn 1.92, 1 Cu 1.98



Entry 3:
Entry from Alexandria: a geometry-optimized RbMnCuF6 structure (GGA+U).

## Properties
As for the final energy: -44.1 eV/cell. The space group is No. 5.

a = 5.3684 Å, b = 5.3681 Å, c = 6.0205 Å
α = 88.56°, β = 91.43°, γ = 64.58°
With the nearest neighbours (Å) after each atom.
Fractional positions:
Rb1 0.9875 0.9876 0.0000  6 F 2.80-2.87
Mn1 0.3341 0.3342 0.5000  4 F 1.87-1.94
Cu1 0.6680 0.6680 0.5000  4 F 1.91-1.99
F1 0.0548 0.3407 0.3058  1 Mn 1.87
F2 0.3406 0.0548 0.6941  1 Mn 1.87
F3 0.6084 0.3860 0.6837  1 Mn 1.94, 1 Cu 1.99
F4 0.9886 0.6316 0.6685  1 Cu 1.91
F5 0.3860 0.6084 0.3163  1 Mn 1.94, 1 Cu 1.99
F6 0.6317 0.9887 0.3315  1 Cu 1.91



Entry 4:
Entry from Alexandria: a geometry-optimized Rb3Mn2CuF9 structure (GGA+U).

## Properties
Its density of states at the Fermi level is 3.6 states/eV/f.u. As for the final energy: -76.9 eV/cell. The space group is No. 164.

a = 6.0011 Å, b = 6.0011 Å, c = 7.3559 Å
α = 90.00°, β = 90.00°, γ = 120.00°
With the nearest neighbours (Å) after each atom.
Fractional positions:
Rb1 0.3333 0.6667 0.6622  12 F 2.97-3.03
Rb2 0.0000 0.0000 0.0000  12 F 3.00
Rb3 0.6667 0.3333 0.3378  12 F 2.97-3.03
Mn1 0.3333 0.6667 0.1706  6 F 2.12-2.14
Mn2 0.6667 0.3333 0.8294  6 F 2.12-2.14
Cu1 0.0000 0.0000 0.5000  6 F 2.11
F1 0.8340 0.1660 0.6658  1 Cu 2.11, 1 Mn 2.12
F2 0.8340 0.6680 0.6658  1 Cu 2.11, 1 Mn 2.12
F3 0.3320 0.1660 0.6658  1 Cu 2.11, 1 Mn 2.12
F4 0.6680 0.8340 0.3342  1 Cu 2.11, 1 Mn 2.12
F5 0.1660 0.3320 0.3342  1 Cu 2.11, 1 Mn 2.12
F6 0.1660 0.8340 0.3342  1 Cu 2.11, 1 Mn 2.12
F7 0.5000 0.0000 0.0000  2 Mn 2.14
F8 0.0000 0.5000 0.0000  2 Mn 2.14
F9 0.5000 0.5000 0.0000  2 Mn 2.14



Entry 5:
Entry from Alexandria: a geometry-optimized Rb2MnCuF6 structure (GGA+U).

## Properties
Its density of states at the Fermi level is 2.3 states/eV/f.u. As for the final energy: -49.0 eV/cell. The space group is No. 139.

a = 5.9935 Å, b = 5.9935 Å, c = 5.9465 Å
α = 59.74°, β = 59.74°, γ = 90.00°
With the nearest neighbours (Å) after each atom.
Fractional positions:
Mn1 0.5000 0.5000 0.0000  6 F 2.09-2.13
Cu1 0.0000 0.0000 0.0000  6 F 2.04-2.15
Rb1 0.7500 0.2500 0.5000  12 F 2.97-3.00
Rb2 0.2500 0.7500 0.5000  12 F 2.97-3.00
F1 0.2442 0.2442 0.5115  1 Cu 2.04, 1 Mn 2.13
F2 0.7558 0.7558 0.4885  1 Cu 2.04, 1 Mn 2.13
F3 0.2533 0.2533 0.0000  1 Mn 2.09, 1 Cu 2.15
F4 0.7467 0.7467 0.0000  1 Mn 2.09, 1 Cu 2.15
F5 0.7467 0.2533 0.0000  1 Mn 2.09, 1 Cu 2.15
F6 0.2533 0.7467 0.0000  1 Mn 2.09, 1 Cu 2.15



Entry 6:
Entry from Alexandria: a geometry-optimized MnCuRhF6 structure (GGA+U).

## Properties
As for the final energy: -92.3 eV/cell. The space group is No. 163.

a = 5.3194 Å, b = 5.3194 Å, c = 9.2807 Å
α = 90.00°, β = 90.00°, γ = 120.00°
With the nearest neighbours (Å) after each atom.
Fractional positions:
Mn1 0.3333 0.6667 0.2500  6 F 2.15
Mn2 0.6667 0.3333 0.7500  6 F 2.15
Cu1 0.6667 0.3333 0.2500  6 F 2.14
Cu2 0.3333 0.6667 0.7500  6 F 2.14
Rh1 0.0000 0.0000 0.0000  6 F 2.07
Rh2 0.0000 0.0000 0.5000  6 F 2.07
F1 0.6795 0.6777 0.1260  1 Rh 2.07, 1 Cu 2.14, 1 Mn 2.15
F2 0.9982 0.3205 0.1260  1 Rh 2.07, 1 Cu 2.14, 1 Mn 2.15
F3 0.3205 0.9982 0.6260  1 Rh 2.07, 1 Cu 2.14, 1 Mn 2.15
F4 0.0018 0.6795 0.8740  1 Rh 2.07, 1 Cu 2.14, 1 Mn 2.15
F5 0.3223 0.3205 0.3740  1 Rh 2.07, 1 Cu 2.14, 1 Mn 2.15
F6 0.9982 0.6777 0.3740  1 Rh 2.07, 1 Cu 2.14, 1 Mn 2.15
F7 0.6777 0.9982 0.8740  1 Rh 2.07, 1 Cu 2.14, 1 Mn 2.15
F8 0.6795 0.0018 0.3740  1 Rh 2.07, 1 Cu 2.14, 1 Mn 2.15
F9 0.0018 0.3223 0.6260  1 Rh 2.07, 1 Cu 2.14, 1 Mn 2.15
F10 0.3223 0.0018 0.1260  1 Rh 2.07, 1 Cu 2.14, 1 Mn 2.15
F11 0.6777 0.6795 0.6260  1 Rh 2.07, 1 Cu 2.14, 1 Mn 2.15
F12 0.3205 0.3223 0.8740  1 Rh 2.07, 1 Cu 2.14, 1 Mn 2.15



Entry 7:
Entry from Alexandria: a geometry-optimized Mn2CuSeF structure (GGA+U).

## Properties
Its density of states at the Fermi level is 1.8 states/eV/f.u. As for the final energy: -24.3 eV/cell. The space group is No. 123.

a = 4.9780 Å, b = 4.4389 Å, c = 4.9780 Å
α = 90.00°, β = 90.00°, γ = 90.00°
With the nearest neighbours (Å) after each atom.
Fractional positions:
Mn1 0.0000 0.0000 0.5000  2 Cu 2.49
Mn2 0.5000 0.0000 0.0000  2 Cu 2.49
Cu1 0.0000 0.0000 0.0000  2 Se 2.22
Se1 0.0000 0.5000 0.0000  2 Cu 2.22
F1 0.5000 0.5000 0.5000  8 Mn 3.33, 4 Se 3.52



Entry 8:
Entry from Alexandria: a geometry-optimized MnCu2SnF structure (GGA+U).

## Properties
Its density of states at the Fermi level is 3.3 states/eV/f.u. As for the final energy: -19.7 eV/cell. The space group is No. 123.

a = 4.7974 Å, b = 5.4904 Å, c = 4.7974 Å
α = 90.00°, β = 90.00°, γ = 90.00°
With the nearest neighbours (Å) after each atom.
Fractional positions:
Mn1 0.0000 0.5000 0.0000  2 Sn 2.75
Sn1 0.0000 0.0000 0.0000  4 Cu 2.40
Cu1 0.0000 0.0000 0.5000  2 Sn 2.40
Cu2 0.5000 0.0000 0.0000  2 Sn 2.40
F1 0.5000 0.5000 0.5000  4 Mn 3.39, 8 Cu 3.65



Entry 9:
Entry from Alexandria: a geometry-optimized Sr2MnCuF structure (GGA+U).

## Properties
Its density of states at the Fermi level is 3.3 states/eV/f.u. As for the final energy: -18.7 eV/cell. The space group is No. 123.

a = 5.8790 Å, b = 4.7335 Å, c = 5.8790 Å
α = 90.00°, β = 90.00°, γ = 90.00°
With the nearest neighbours (Å) after each atom.
Fractional positions:
Sr1 0.0000 0.0000 0.5000  2 Cu 2.94
Sr2 0.5000 0.0000 0.0000  2 Cu 2.94
Mn1 0.0000 0.5000 0.0000  2 Cu 2.37
Cu1 0.0000 0.0000 0.0000  2 Mn 2.37
F1 0.5000 0.5000 0.5000  8 Sr 3.77, 4 Mn 4.16



Entry 10:
Entry from Alexandria: a geometry-optimized SrMnCu2F8 structure (GGA+U).

## Properties
As for the final energy: -60.4 eV/cell. The space group is No. 82.

a = 5.4954 Å, b = 5.4954 Å, c = 6.6344 Å
α = 114.47°, β = 114.47°, γ = 90.00°
With the nearest neighbours (Å) after each atom.
Fractional positions:
Sr1 0.7500 0.2500 0.5000  8 F 2.42-2.59
Mn1 0.0000 0.0000 0.0000  8 F 2.22-2.39
Cu1 0.5000 0.5000 0.0000  4 F 1.93
Cu2 0.2500 0.7500 0.5000  4 F 1.91
F1 0.7288 0.8397 0.1091  1 Cu 1.93
F2 0.3803 0.2694 0.1091  1 Cu 1.93
F3 0.6112 0.6841 0.6296  1 Cu 1.91
F4 0.0184 0.9455 0.6296  1 Cu 1.91
F5 0.0545 0.3888 0.3704  1 Cu 1.91
F6 0.3159 0.9816 0.3704  1 Cu 1.91
F7 0.1603 0.6197 0.8909  1 Cu 1.93
F8 0.7306 0.2712 0.8909  1 Cu 1.93



Entry 11:
Entry from Alexandria: a geometry-optimized SrMnCuF6 structure (GGA+U).

## Properties
Its density of states at the Fermi level is 6.3 states/eV/f.u. As for the final energy: -48.6 eV/cell. The space group is No. 149.

a = 5.2482 Å, b = 5.4785 Å, c = 5.4785 Å
α = 120.00°, β = 90.00°, γ = 90.00°
With the nearest neighbours (Å) after each atom.
Fractional positions:
Sr1 0.0000 0.3333 0.6667  6 F 2.46
Mn1 0.5000 0.6667 0.3333  6 F 2.14
Cu1 0.5000 0.0000 0.0000  6 F 2.06
F1 0.7179 0.3214 0.0198  1 Cu 2.06, 1 Mn 2.14
F2 0.7179 0.9802 0.3016  1 Cu 2.06, 1 Mn 2.14
F3 0.7179 0.6984 0.6786  1 Cu 2.06, 1 Mn 2.14
F4 0.2821 0.9802 0.6786  1 Cu 2.06, 1 Mn 2.14
F5 0.2821 0.3214 0.3016  1 Cu 2.06, 1 Mn 2.14
F6 0.2821 0.6984 0.0198  1 Cu 2.06, 1 Mn 2.14